Entry 1:
VASP calculation (PBE) on Ce6N5F after structural relaxation.

The structure in CIF format:
```
data_Ce6N5F
_chemical_formula_sum 'Ce6 N5 F1'
_symmetry_space_group_name_H-M 'P 1'
_symmetry_Int_Tables_number 1
_cell_length_a 6.1886
_cell_length_b 6.1886
_cell_length_c 6.1815
_cell_angle_alpha 99.62
_cell_angle_beta 99.62
_cell_angle_gamma 120.03
loop_
_symmetry_equiv_pos_as_xyz
'x,y,z'
loop_
_atom_site_label
_atom_site_fract_x
_atom_site_fract_y
_atom_site_fract_z
_atom_site_occupancy
Ce1 0.9154 0.5720 0.7460 1
Ce2 0.2577 0.2577 0.7416 1
Ce3 0.7423 0.7423 0.2584 1
Ce4 0.5720 0.9154 0.7460 1
Ce5 0.4280 0.0846 0.2540 1
Ce6 0.0846 0.4280 0.2540 1
N1 0.6661 0.3339 0.0000 1
N2 0.1694 0.8306 0.5000 1
N3 0.5000 0.5000 0.5000 1
N4 0.3339 0.6661 0.0000 1
N5 0.8306 0.1694 0.5000 1
F1 0.0000 0.0000 0.0000 1
```

Calculated values
magnetic moment: 0.000 μB per cell
theoretical density: 8.0 Mg/m³
space group: C2/m, No. 12
N(E_F): 1.161 states/eV/atom
ΔE_f (raw): -1.715 eV/atom
electronic total energy: -8.307 eV/atom

***

Entry 2:
VASP calculation (PBE) on CeNF5 after structural relaxation.

The structure in CIF format:
```
data_CeNF5
_chemical_formula_sum 'Ce2 N2 F10'
_symmetry_space_group_name_H-M 'P 1'
_symmetry_Int_Tables_number 1
_cell_length_a 8.4063
_cell_length_b 8.4063
_cell_length_c 3.9114
_cell_angle_alpha 90.00
_cell_angle_beta 90.00
_cell_angle_gamma 118.53
loop_
_symmetry_equiv_pos_as_xyz
'x,y,z'
loop_
_atom_site_label
_atom_site_fract_x
_atom_site_fract_y
_atom_site_fract_z
_atom_site_occupancy
F1 0.4584 0.8690 0.2500 1
F2 0.6993 0.5777 0.2500 1
F3 0.1310 0.5416 0.2500 1
F4 0.8690 0.4584 0.7500 1
F5 0.5777 0.6993 0.7500 1
F6 0.8976 0.1024 0.7500 1
F7 0.4223 0.3007 0.2500 1
F8 0.1024 0.8976 0.2500 1
F9 0.3007 0.4223 0.7500 1
F10 0.5416 0.1310 0.7500 1
N1 0.0000 0.0000 0.0000 1
N2 0.0000 0.0000 0.5000 1
Ce1 0.6065 0.3935 0.7500 1
Ce2 0.3935 0.6065 0.2500 1
```

Calculated values
magnetic moment: 2.561 μB per cell
theoretical density: 3.4 Mg/m³
space group: Cmcm, No. 63
N(E_F): 0.052 states/eV/atom
ΔE_f (raw): -2.001 eV/atom
electronic total energy: -5.375 eV/atom

***

Entry 3:
VASP calculation (PBE) on CeN2F3 after structural relaxation.

The structure in CIF format:
```
data_CeN2F3
_chemical_formula_sum 'Ce2 N4 F6'
_symmetry_space_group_name_H-M 'P 1'
_symmetry_Int_Tables_number 1
_cell_length_a 5.9406
_cell_length_b 5.9406
_cell_length_c 16.8048
_cell_angle_alpha 55.25
_cell_angle_beta 55.25
_cell_angle_gamma 102.03
loop_
_symmetry_equiv_pos_as_xyz
'x,y,z'
loop_
_atom_site_label
_atom_site_fract_x
_atom_site_fract_y
_atom_site_fract_z
_atom_site_occupancy
F1 0.6423 0.6807 0.0055 1
F2 0.6807 0.6423 0.5055 1
F3 0.6922 0.3078 0.7500 1
F4 0.3078 0.6922 0.2500 1
F5 0.3193 0.3577 0.4945 1
F6 0.3577 0.3193 0.9945 1
Ce1 0.0816 0.9184 0.2500 1
Ce2 0.9184 0.0816 0.7500 1
N1 0.7082 0.3939 0.2611 1
N2 0.6061 0.2918 0.2389 1
N3 0.2918 0.6061 0.7389 1
N4 0.3939 0.7082 0.7611 1
```

Calculated values
magnetic moment: 2.004 μB per cell
theoretical density: 3.0 Mg/m³
space group: C2/c, No. 15
N(E_F): 0.808 states/eV/atom
ΔE_f (raw): -2.447 eV/atom
electronic total energy: -7.147 eV/atom

***

Entry 4:
VASP calculation (PBE) on CePNO4F2 after structural relaxation.

The structure in CIF format:
```
data_CePNO4F2
_chemical_formula_sum 'Ce2 P2 N2 O8 F4'
_symmetry_space_group_name_H-M 'P 1'
_symmetry_Int_Tables_number 1
_cell_length_a 5.9041
_cell_length_b 6.7918
_cell_length_c 7.6854
_cell_angle_alpha 63.91
_cell_angle_beta 90.00
_cell_angle_gamma 90.00
loop_
_symmetry_equiv_pos_as_xyz
'x,y,z'
loop_
_atom_site_label
_atom_site_fract_x
_atom_site_fract_y
_atom_site_fract_z
_atom_site_occupancy
F1 0.0000 0.1812 0.5003 1
F2 0.0000 0.8188 0.4997 1
F3 0.5000 0.1812 0.5003 1
F4 0.5000 0.8188 0.4997 1
O1 0.0368 0.2030 0.0948 1
O2 0.2500 0.1474 0.8363 1
O3 0.9632 0.7970 0.9052 1
O4 0.2500 0.5159 0.8363 1
O5 0.7500 0.4841 0.1637 1
O6 0.5368 0.7970 0.9052 1
O7 0.4632 0.2030 0.0948 1
O8 0.7500 0.8526 0.1637 1
P1 0.7500 0.7326 0.0347 1
P2 0.2500 0.2674 0.9653 1
N1 0.7500 0.3991 0.7044 1
N2 0.2500 0.6009 0.2956 1
Ce1 0.7500 0.0921 0.3164 1
Ce2 0.2500 0.9079 0.6836 1
```

Calculated values
magnetic moment: 7.925 μB per cell
theoretical density: 3.4 Mg/m³
space group: P2_1/m, No. 11
N(E_F): 0.892 states/eV/atom
ΔE_f (raw): -1.794 eV/atom
electronic total energy: -6.599 eV/atom

***

Question: theoretical density of number 2 (CeNF5)?
Answer: 3.4 Mg/m³